A relaxed structure of Nd3Sn2Pd5. Source: Alexandria via LeMat-Bulk, functional PBE.

```
Nd3Sn2Pd5
1.0
-6.111 6.415 2.983
6.111 -6.415 2.983
6.111 6.415 -2.983
Nd Sn Pd
6 4 10
Direct
0.188 0.602 0.790 Nd
0.250 0.250 0.000 Nd
0.312 0.102 0.414 Nd
0.688 0.898 0.586 Nd
0.750 0.750 0.000 Nd
0.812 0.398 0.210 Nd
0.165 0.861 0.026 Sn
0.335 0.361 0.696 Sn
0.665 0.639 0.304 Sn
0.835 0.139 0.974 Sn
0.133 0.361 0.494 Pd
0.250 0.012 0.762 Pd
0.250 0.488 0.238 Pd
0.250 0.750 0.500 Pd
0.367 0.861 0.227 Pd
0.633 0.139 0.773 Pd
0.750 0.250 0.500 Pd
0.750 0.512 0.762 Pd
0.750 0.988 0.238 Pd
0.867 0.639 0.506 Pd
```

Calculated values
Formation energy from the elements in eV/atom: -0.54
Final energy in eV per atom: -5.369